PBE K3Mg2Pb9, relaxed; formation energy from the elements = -116 meV per atom; mass density = 7.3 g cm⁻³
1.0
4.9584 0.0000 1.3318
1.9804 9.3860 2.5228
-0.0052 -0.2548 9.9156
Mg Pb K
2 9 3
Cartesian
3.7604 5.9913 5.7918
3.1731 3.1398 7.9784
1.0363 1.1998 6.0378
1.8490 5.1455 3.0121
0.9876 4.5656 6.2192
5.8972 7.9314 7.7324
4.5393 6.8500 2.8919
3.8008 9.1105 5.6415
2.3942 2.2812 10.8783
3.1327 0.0207 8.1288
5.0845 3.9856 10.7581
4.1349 2.5206 4.3977
2.7987 6.6106 9.3725
0.0000 0.0000 0.0000